Computed, not measured: a relaxed LiMg6Zn crystal at the GGA-PBE level of DFT.

abc: 6.1745 6.1745 5.0942
angles: 90.00 90.00 119.51
Fractional positions:
Li (0.6662, 0.3338, 0.5000)
Mg (0.1641, 0.3336, 0.5000)
Mg (0.6664, 0.8359, 0.5000)
Mg (0.3338, 0.1601, 0.0000)
Mg (0.8399, 0.6662, 0.0000)
Mg (0.3316, 0.6684, 0.0000)
Mg (0.8331, 0.1669, 0.0000)
Zn (0.1650, 0.8350, 0.5000)

Calculated values
As for the density of states at the Fermi level: 1.4 states/eV/cell. The formation energy is -0.0362 eV/atom. The total energy comes out at -1.631 eV per atom. The volume comes out at 169.0 Å³/cell. For the energy above the most stable polymorph in this dataset, the calculation gives 1 meV/atom. The calculation puts the calculated density at 2.144 g/cm3.